BeIn2SnCl6: relaxed, PBE.

Cell lengths 8.690, 8.690, 8.690 Å; angles 49.72, 49.72, 49.72 degrees
Positions (direct):
Be: 0.000 0.000 0.000
In: 0.234 0.234 0.234
In: 0.747 0.747 0.747
Sn: 0.438 0.438 0.438
Cl: 0.032 0.248 0.722
Cl: 0.186 0.783 0.527
Cl: 0.248 0.722 0.032
Cl: 0.527 0.186 0.783
Cl: 0.722 0.032 0.248
Cl: 0.783 0.527 0.186

## Properties
Space-group type: R3
Magnetic moment (μB per formula unit): 0.0
ΔE_f (raw) (kcal/mol of atoms): -23.92
Electronic total energy (eV/f.u.): -34.657
Volume (Å³ per atom): 35.1

---

Tm3Hf2Cd2: relaxed, PBE.

Cell lengths 11.252, 11.252, 3.291 Å; angles 90.00, 90.00, 154.80 degrees
Positions (direct):
Tm: 0.000 0.000 0.000
Tm: 0.152 0.848 0.000
Tm: 0.848 0.152 0.000
Hf: 0.280 0.720 0.500
Hf: 0.720 0.280 0.500
Cd: 0.427 0.573 0.500
Cd: 0.573 0.427 0.500

## Properties
ΔH_f (0 K) (meV/atom): -36
Space-group type: Cmmm
Magnetic moment (μB per formula unit): 0.0
Electronic total energy (eV/f.u.): -35.404
Volume (Å³ per atom): 25.3

---

Pr2DyYBi5: relaxed, PBE.

Cell lengths 5.444, 5.444, 11.946 Å; angles 90.00, 90.00, 90.00 degrees
Positions (direct):
Pr: 0.000 0.000 0.225
Pr: 0.000 0.000 0.775
Dy: 0.500 0.500 0.000
Y: 0.500 0.500 0.500
Bi: 0.000 0.000 0.500
Bi: 0.000 0.500 0.000
Bi: 0.500 0.000 0.000
Bi: 0.500 0.500 0.254
Bi: 0.500 0.500 0.746

## Properties
ΔH_f (0 K) (meV/atom): -156
Space-group type: P4/mmm
Magnetic moment (μB per formula unit): 0.0
Electronic total energy (eV/f.u.): -41.437
Volume (Å³ per atom): 39.3